Record 1
HoLuNi | PBE-GGA | optimized geometry

Geometry as extended XYZ:
```
3
Lattice="4.491 0.000 0.000 -2.245 3.889 0.000 0.000 0.000 3.938" Properties=species:S:1:pos:R:3 pbc="T T T"
Ho 0.000 0.000 0.000
Lu 0.000 2.593 2.009
Ni 2.245 1.296 1.134
```

## Properties
magnetic moment: 0.0 μB per formula unit
distance to the lowest polymorph of the same formula: 0.58 eV per formula unit
E_tot: -5.053 eV/atom
formation enthalpy at 0 K: -93 meV per atom

***

Record 2
KCo4Ag | PBE-GGA | optimized geometry

Geometry as extended XYZ:
```
6
Lattice="0.000 3.583 3.583 3.583 0.000 3.583 3.583 3.583 0.000" Properties=species:S:1:pos:R:3 pbc="T T T"
K 0.000 0.000 0.000
Co 2.694 2.694 2.694
Co 4.473 4.473 2.694
Co 4.473 2.694 4.473
Co 2.694 4.473 4.473
Ag 5.375 5.375 5.375
```

## Properties
magnetic moment: 6.8 μB per formula unit
E_tot: -4.694 eV/atom
formation enthalpy at 0 K: 701 meV per atom

***

Record 3
KMnCl2 | PBE-GGA | optimized geometry

Geometry as extended XYZ:
```
4
Lattice="7.178 -2.041 0.000 7.178 2.041 0.000 -0.001 0.000 3.887" Properties=species:S:1:pos:R:3 pbc="T T T"
K 0.000 0.000 0.000
Mn 3.376 0.000 1.934
Cl 5.717 0.000 1.943
Cl 9.278 0.000 1.931
```

## Properties
magnetic moment: 4.2 μB per formula unit
distance to the lowest polymorph of the same formula: 0.15 eV per formula unit
E_tot: -4.439 eV/atom
formation energy from raw total energies: -0.949 eV per atom

***

Record 4
TbDy2ScS6 | PBE-GGA | optimized geometry

Geometry as extended XYZ:
```
10
Lattice="3.408 1.968 6.090 -3.408 1.968 6.090 0.000 -3.936 6.090" Properties=species:S:1:pos:R:3 pbc="T T T"
Tb 0.000 0.000 0.000
Dy 0.000 0.000 5.411
Dy 0.000 0.000 14.603
Sc 0.000 0.000 9.057
S -2.004 0.023 7.341
S -1.302 -1.843 10.336
S 0.982 -1.747 7.341
S -0.945 2.049 10.336
S 1.022 1.724 7.341
S 2.247 -0.206 10.336
```

## Properties
magnetic moment: 0.0 μB per formula unit
E_tot: -6.499 eV/atom
formation energy from raw total energies: -2.006 eV per atom